Below is a relaxed structure of TmPaVO6, with properties calculated at the PBE+U level.

a = 5.3557 Å, b = 5.3557 Å, c = 9.5133 Å
α = 90.00°, β = 90.00°, γ = 120.00°
Last column: nearest neighbours and their distance in Å.
Element x y z (fractional)
Tm: 0.3333 0.6667 0.2500  6 O 2.22
Tm: 0.6667 0.3333 0.7500  6 O 2.22
Pa: 0.0000 0.0000 0.0000  6 O 2.21
Pa: 0.0000 0.0000 0.5000  6 O 2.21
V: 0.6667 0.3333 0.2500  6 O 1.98
V: 0.3333 0.6667 0.7500  6 O 1.98
O: 0.6812 0.6452 0.1327  1 V 1.98, 1 Pa 2.21
O: 0.9640 0.3188 0.1327  1 V 1.98, 1 Pa 2.21
O: 0.3188 0.9640 0.6327  1 V 1.98, 1 Pa 2.21
O: 0.0360 0.6812 0.8673  1 V 1.98, 1 Pa 2.21
O: 0.3548 0.3188 0.3673  1 V 1.98, 1 Pa 2.21
O: 0.9640 0.6452 0.3673  1 V 1.98, 1 Pa 2.21
O: 0.6452 0.9640 0.8673  1 V 1.98, 1 Pa 2.21
O: 0.6812 0.0360 0.3673  1 V 1.98, 1 Pa 2.21
O: 0.0360 0.3548 0.6327  1 V 1.98, 1 Pa 2.21
O: 0.3548 0.0360 0.1327  1 V 1.98, 1 Pa 2.21
O: 0.6452 0.6812 0.6327  1 V 1.98, 1 Pa 2.21
O: 0.3188 0.3548 0.8673  1 V 1.98, 1 Pa 2.21

DFT total energy = -8.678 eV per atom
Total moment = 1.00 μB per formula unit
Symmetry = No. 163